Entry 1:
# HoMg9Pd2, relaxed, DFT PBE
data_HoMg9Pd2
_space_group_name_H-M_alt 'I 41/a m d'
_space_group_IT_number 141
_cell_length_a 11.671
_cell_length_b 11.671
_cell_length_c 7.518
_cell_angle_alpha 90.00
_cell_angle_beta 90.00
_cell_angle_gamma 90.00
loop_
_space_group_symop_operation_xyz
'x,y,z'
'-x,-y,-z'
'-y+1/4,x+3/4,z+1/4'
'y+1/4,-x+3/4,-z+1/4'
'-x+1/2,-y,z+1/2'
'x+1/2,y,-z+1/2'
'y+1/4,-x+1/4,z+3/4'
'-y+1/4,x+1/4,-z+3/4'
'x,-y,-z'
'-x,y,z'
'-y+1/4,-x+1/4,-z+3/4'
'y+1/4,x+1/4,z+3/4'
'-x+1/2,y,-z+1/2'
'x+1/2,-y,z+1/2'
'y+1/4,x+3/4,-z+1/4'
'-y+1/4,-x+3/4,z+1/4'
'x+1/2,y+1/2,z+1/2'
'-x+1/2,-y+1/2,-z+1/2'
'-y+3/4,x+1/4,z+3/4'
'y+3/4,-x+1/4,-z+3/4'
'-x,-y+1/2,z'
'x,y+1/2,-z'
'y+3/4,-x+3/4,z+1/4'
'-y+3/4,x+3/4,-z+1/4'
'x+1/2,-y+1/2,-z+1/2'
'-x+1/2,y+1/2,z+1/2'
'-y+3/4,-x+3/4,-z+1/4'
'y+3/4,x+3/4,z+1/4'
'-x,y+1/2,-z'
'x,-y+1/2,z'
'y+3/4,x+1/4,-z+3/4'
'-y+3/4,-x+1/4,z+3/4'
loop_
_atom_site_label
_atom_site_type_symbol
_atom_site_fract_x
_atom_site_fract_y
_atom_site_fract_z
Ho1 Ho 0.000 0.250 0.375
Mg1 Mg 0.000 0.250 0.875
Mg2 Mg 0.122 0.054 0.685
Pd1 Pd 0.000 0.000 0.000
# Density (g/cm3): 3.87
# VASP energy (eV/atom): -2.698
# DFT formation energy (meV per atom): -255

***

Entry 2:
# In3Hg2Au2, relaxed, DFT PBE
data_In3Hg2Au2
_space_group_name_H-M_alt 'C 1 2/m 1'
_space_group_IT_number 12
_space_group_name_Hall '-C 2y'
_cell_length_a 21.391
_cell_length_b 3.836
_cell_length_c 4.174
_cell_angle_alpha 90.00
_cell_angle_beta 90.68
_cell_angle_gamma 90.00
loop_
_atom_site_label
_atom_site_type_symbol
_atom_site_fract_x
_atom_site_fract_y
_atom_site_fract_z
In1 In 0.000 0.000 0.000
In2 In 0.168 0.000 0.909
Hg1 Hg 0.073 0.500 0.493
Au1 Au 0.205 0.500 0.380
# Density (g/cm3): 11.05
# VASP energy (eV/atom): -2.258
# DFT formation energy (meV per atom): -61

***

Entry 3:
# DyThAu4, relaxed, DFT PBE
data_DyThAu4
_space_group_name_H-M_alt 'C 1 2/m 1'
_space_group_IT_number 12
_space_group_name_Hall '-C 2y'
_cell_length_a 8.380
_cell_length_b 8.257
_cell_length_c 4.749
_cell_angle_alpha 90.00
_cell_angle_beta 124.44
_cell_angle_gamma 90.00
loop_
_atom_site_label
_atom_site_type_symbol
_atom_site_fract_x
_atom_site_fract_y
_atom_site_fract_z
Dy1 Dy 0.000 0.000 0.000
Th1 Th 0.000 0.500 0.500
Au1 Au 0.247 0.166 0.747
# E above lowest polymorph (kJ/mol of formula units): 19
# Density (g/cm3): 14.49
# VASP energy (eV/atom): -4.912
# DFT formation energy (meV per atom): -724